An optimized crystal structure of CaNiB2, computed with PBE.

Calculated values
* energy relative to the lowest polymorph listed for this composition: 68.42 kJ per mole of atoms
* energy of formation from the pure elements: 721.8 meV per atom
* M_tot: 0.00 μB/f.u.
* symmetry: No. 225

abc: 5.7017 5.7017 5.7017
angles: 90.00 90.00 90.00
Fractional positions:
Ca 0.0000 0.0000 0.0000
Ca 0.0000 0.5000 0.5000
Ca 0.5000 0.0000 0.5000
Ca 0.5000 0.5000 0.0000
Ni 0.0000 0.0000 0.5000
Ni 0.0000 0.5000 0.0000
Ni 0.5000 0.0000 0.0000
Ni 0.5000 0.5000 0.5000
B 0.2500 0.2500 0.2500
B 0.2500 0.2500 0.7500
B 0.2500 0.7500 0.2500
B 0.2500 0.7500 0.7500
B 0.7500 0.2500 0.2500
B 0.7500 0.2500 0.7500
B 0.7500 0.7500 0.2500
B 0.7500 0.7500 0.7500